Entry 1:
An optimized crystal structure of La3HfMg, computed with PBE.

Cell and atoms, written as POSCAR:
```
La3HfMg
1.0
-2.535 3.388 -3.962
-4.038 -4.062 -0.889
-3.296 2.371 4.137
Mg La Hf
1 3 1
Direct
0.500 0.500 0.500
0.500 0.000 0.000
0.000 0.000 0.500
0.000 0.500 0.000
0.000 0.000 0.000
```

Values from the calculation:
space group = Pm-3m (221)
DFT total energy = -4.753 eV/atom
crystal system = cubic
energy relative to the lowest polymorph listed for this composition = 0.0 meV/atom


Entry 2:
An optimized crystal structure of LaHfMg14, computed with PBE.

Cell and atoms, written as POSCAR:
```
LaHfMg14
1.0
3.039 5.659 1.475
-3.942 -0.666 -5.239
-8.239 2.905 5.830
Mg La Hf
14 1 1
Direct
0.174 0.333 0.755
0.327 0.165 0.000
0.835 0.673 0.000
0.175 0.825 0.742
0.667 0.826 0.245
0.331 0.669 0.000
0.831 0.677 0.500
0.664 0.336 0.238
0.831 0.169 0.000
0.174 0.333 0.245
0.323 0.169 0.500
0.664 0.336 0.762
0.175 0.825 0.258
0.667 0.826 0.755
0.822 0.178 0.500
0.340 0.660 0.500
```

Values from the calculation:
space group = Amm2 (38)
DFT total energy = -2.268 eV/atom
crystal system = orthorhombic
energy relative to the lowest polymorph listed for this composition = 0.0 meV/atom


Entry 3:
An optimized crystal structure of La3HfMg, computed with PBE.

Cell and atoms, written as POSCAR:
```
La3HfMg
1.0
-3.678 3.390 -2.797
-3.411 -4.502 -0.971
-2.771 1.042 4.907
La Hf Mg
3 1 1
Direct
0.000 0.000 0.500
0.000 0.500 0.000
0.500 0.000 0.000
0.500 0.500 0.500
0.000 0.000 0.000
```

Values from the calculation:
space group = Pm-3m (221)
DFT total energy = -4.268 eV/atom
crystal system = cubic
energy relative to the lowest polymorph listed for this composition = 485.7 meV/atom


Entry 4:
An optimized crystal structure of La2Hf2Mg, computed with PBE.

Cell and atoms, written as POSCAR:
```
La2Hf2Mg
1.0
8.717 0.000 0.000
0.000 8.717 0.000
0.000 0.000 3.823
Mg La Hf
2 4 4
Direct
0.500 0.500 0.000
0.000 0.000 0.000
0.177 0.677 0.500
0.823 0.323 0.500
0.323 0.177 0.500
0.677 0.823 0.500
0.881 0.619 0.000
0.381 0.881 0.000
0.119 0.381 0.000
0.619 0.119 0.000
```

Values from the calculation:
space group = P4/mbm (127)
DFT total energy = -5.942 eV/atom
crystal system = tetragonal
energy relative to the lowest polymorph listed for this composition = 0.0 meV/atom


Entry 5:
An optimized crystal structure of LaHf2MgMn, computed with PBE.

Cell and atoms, written as POSCAR:
```
LaHf2MgMn
1.0
4.949 0.000 0.000
0.000 5.086 0.000
0.000 0.000 4.949
Hf Mn La Mg
2 1 1 1
Direct
0.500 0.000 0.000
0.000 0.000 0.500
0.000 0.000 0.000
0.000 0.500 0.000
0.500 0.500 0.500
```

Values from the calculation:
space group = P4/mmm (123)
DFT total energy = -6.759 eV/atom
crystal system = tetragonal


Entry 6:
An optimized crystal structure of La2HfMgN, computed with PBE.

Cell and atoms, written as POSCAR:
```
La2HfMgN
1.0
5.349 0.000 0.000
0.000 5.349 0.000
0.000 0.000 4.296
Mg La N Hf
1 2 1 1
Direct
0.500 0.500 0.500
0.000 0.500 0.000
0.500 0.000 0.000
0.000 0.000 0.000
0.000 0.000 0.500
```

Values from the calculation:
space group = P4/mmm (123)
DFT total energy = -6.551 eV/atom
crystal system = tetragonal
uncorrected formation energy = -606 meV/atom


Entry 7:
An optimized crystal structure of La2HfMgO, computed with PBE.

Cell and atoms, written as POSCAR:
```
La2HfMgO
1.0
-5.069 -1.224 1.156
1.683 -3.603 3.566
-0.030 2.967 3.012
Hf La O Mg
1 2 1 1
Direct
0.000 0.000 0.500
0.500 0.000 0.000
0.000 0.500 0.000
0.000 0.000 0.000
0.500 0.500 0.500
```

Values from the calculation:
space group = P4/mmm (123)
DFT total energy = -6.366 eV/atom
crystal system = tetragonal
uncorrected formation energy = -1094 meV/atom


Entry 8:
An optimized crystal structure of LaHfMg6O8, computed with PBE.

Cell and atoms, written as POSCAR:
```
LaHfMg6O8
1.0
-2.620 -1.881 3.207
3.610 -2.227 1.643
1.780 6.976 5.546
Mg O Hf La
6 8 1 1
Direct
0.000 0.500 0.273
0.500 0.000 0.727
0.500 0.500 0.500
0.000 0.500 0.727
0.500 0.000 0.273
0.000 0.000 0.500
0.500 0.000 0.500
0.000 0.000 0.723
0.500 0.500 0.262
0.000 0.000 0.277
0.000 0.500 0.000
0.500 0.000 0.000
0.500 0.500 0.738
0.000 0.500 0.500
0.500 0.500 0.000
0.000 0.000 0.000
```

Values from the calculation:
space group = P4/mmm (123)
DFT total energy = -6.376 eV/atom
crystal system = tetragonal
uncorrected formation energy = -2369 meV/atom


Entry 9:
An optimized crystal structure of La2Hf2MgPt5, computed with PBE.

Cell and atoms, written as POSCAR:
```
La2Hf2MgPt5
1.0
-1.018 1.270 -2.915
-10.618 -2.159 2.767
-0.833 10.115 4.697
La Pt Hf Mg
4 10 4 2
Direct
0.000 0.171 0.329
0.000 0.671 0.171
0.000 0.329 0.829
0.000 0.829 0.671
0.500 0.000 0.500
0.500 0.186 0.066
0.500 0.686 0.434
0.500 0.814 0.934
0.500 0.434 0.314
0.500 0.934 0.186
0.500 0.566 0.686
0.500 0.500 0.000
0.500 0.066 0.814
0.500 0.314 0.566
0.000 0.363 0.137
0.000 0.863 0.363
0.000 0.137 0.637
0.000 0.637 0.863
0.000 0.500 0.500
0.000 0.000 0.000
```

Values from the calculation:
space group = P4/mbm (127)
DFT total energy = -6.994 eV/atom
crystal system = tetragonal


Entry 10:
An optimized crystal structure of La2HfMgRu, computed with PBE.

Cell and atoms, written as POSCAR:
```
La2HfMgRu
1.0
5.710 0.000 0.000
0.000 4.550 0.000
0.000 0.000 5.710
La Hf Mg Ru
2 1 1 1
Direct
0.500 0.000 0.000
0.000 0.000 0.500
0.500 0.500 0.500
0.000 0.000 0.000
0.000 0.500 0.000
```

Values from the calculation:
space group = P4/mmm (123)
DFT total energy = -5.092 eV/atom
crystal system = tetragonal


Entry 11:
An optimized crystal structure of LaHf2MgTi, computed with PBE.

Cell and atoms, written as POSCAR:
```
LaHf2MgTi
1.0
5.187 0.000 0.000
0.000 4.966 0.000
0.000 0.000 5.187
Hf La Ti Mg
2 1 1 1
Direct
0.500 0.000 0.000
0.000 0.000 0.500
0.500 0.500 0.500
0.000 0.500 0.000
0.000 0.000 0.000
```

Values from the calculation:
space group = P4/mmm (123)
DFT total energy = -5.855 eV/atom
crystal system = tetragonal


Entry 12:
An optimized crystal structure of LaHfMgV2, computed with PBE.

Cell and atoms, written as POSCAR:
```
LaHfMgV2
1.0
-0.929 -4.276 1.453
2.929 0.838 4.341
-3.729 1.563 2.215
Hf V Mg La
1 2 1 1
Direct
0.500 0.500 0.500
0.500 0.000 0.000
0.000 0.000 0.500
0.000 0.500 0.000
0.000 0.000 0.000
```

Values from the calculation:
space group = P4/mmm (123)
DFT total energy = -5.380 eV/atom
crystal system = tetragonal


Entry 13:
An optimized crystal structure of La3HfMn, computed with PBE.

Cell and atoms, written as POSCAR:
```
La3HfMn
1.0
-3.746 2.347 2.894
-1.841 -4.733 1.456
3.240 0.024 4.174
Mn La Hf
1 3 1
Direct
0.000 0.000 0.000
0.500 0.000 0.000
0.000 0.500 0.000
0.000 0.000 0.500
0.500 0.500 0.500
```

Values from the calculation:
space group = Pm-3m (221)
DFT total energy = -6.272 eV/atom
crystal system = cubic


Entry 14:
An optimized crystal structure of LaHf3Mn, computed with PBE.

Cell and atoms, written as POSCAR:
```
LaHf3Mn
1.0
-4.615 1.205 1.735
-1.741 -4.531 -1.484
1.197 -1.944 4.533
La Hf Mn
1 3 1
Direct
0.000 0.000 0.000
0.000 0.500 0.000
0.000 0.000 0.500
0.500 0.000 0.000
0.500 0.500 0.500
```

Values from the calculation:
space group = Pm-3m (221)
DFT total energy = -6.636 eV/atom
crystal system = cubic
energy relative to the lowest polymorph listed for this composition = 1937.5 meV/atom


Entry 15:
An optimized crystal structure of La2HfMn2, computed with PBE.

Cell and atoms, written as POSCAR:
```
La2HfMn2
1.0
7.028 0.000 0.000
0.000 7.028 0.000
0.000 0.000 4.696
Hf Mn La
2 4 4
Direct
0.500 0.500 0.000
0.000 0.000 0.000
0.609 0.109 0.000
0.391 0.891 0.000
0.109 0.391 0.000
0.891 0.609 0.000
0.814 0.314 0.500
0.686 0.814 0.500
0.314 0.186 0.500
0.186 0.686 0.500
```

Values from the calculation:
space group = P4/mbm (127)
DFT total energy = -7.305 eV/atom
crystal system = tetragonal


Entry 16:
An optimized crystal structure of LaHf2Mn, computed with PBE.

Cell and atoms, written as POSCAR:
```
LaHf2Mn
1.0
7.120 0.000 0.000
0.000 7.120 0.000
3.560 3.560 5.053
Mn Hf La
2 4 2
Direct
0.500 0.500 0.000
0.250 0.750 0.500
0.375 0.125 0.250
0.375 0.625 0.250
0.375 0.625 0.750
0.875 0.625 0.750
0.750 0.250 0.500
0.000 0.000 0.000
```

Values from the calculation:
space group = I4_1/amd (141)
DFT total energy = -7.391 eV/atom
crystal system = tetragonal
energy relative to the lowest polymorph listed for this composition = 629.8 meV/atom


Entry 17:
An optimized crystal structure of LaHf3Mn, computed with PBE.

Cell and atoms, written as POSCAR:
```
LaHf3Mn
1.0
4.942 0.000 0.000
0.000 4.942 0.000
0.000 0.000 4.942
Hf Mn La
3 1 1
Direct
0.000 0.000 0.500
0.000 0.500 0.000
0.500 0.000 0.000
0.000 0.000 0.000
0.500 0.500 0.500
```

Values from the calculation:
space group = Pm-3m (221)
DFT total energy = -8.573 eV/atom
crystal system = cubic
energy relative to the lowest polymorph listed for this composition = 0.0 meV/atom


Entry 18:
An optimized crystal structure of LaHf2Mn, computed with PBE.

Cell and atoms, written as POSCAR:
```
LaHf2Mn
1.0
1.896 -0.763 4.406
-2.426 -2.660 3.261
1.615 -4.416 1.217
Hf Mn La
2 1 1
Direct
0.750 0.750 0.750
0.250 0.250 0.250
0.000 0.000 0.000
0.500 0.500 0.500
```

Values from the calculation:
space group = Fm-3m (225)
DFT total energy = -8.021 eV/atom
crystal system = cubic
energy relative to the lowest polymorph listed for this composition = 0.0 meV/atom


Entry 19:
An optimized crystal structure of LaHfMn2Ni, computed with PBE.

Cell and atoms, written as POSCAR:
```
LaHfMn2Ni
1.0
-1.414 -4.282 1.330
1.808 1.067 5.357
-4.234 1.734 1.083
La Hf Mn Ni
1 1 2 1
Direct
0.000 0.500 0.000
0.000 0.000 0.000
0.500 0.000 0.000
0.000 0.000 0.500
0.500 0.500 0.500
```

Values from the calculation:
space group = P4/mmm (123)
DFT total energy = -6.430 eV/atom
crystal system = tetragonal
energy relative to the lowest polymorph listed for this composition = 727.5 meV/atom


Entry 20:
An optimized crystal structure of LaHfMn2Ni, computed with PBE.

Cell and atoms, written as POSCAR:
```
LaHfMn2Ni
1.0
-1.870 -3.722 -2.273
-2.115 -1.480 4.163
-3.850 2.571 -1.043
Mn La Hf Ni
2 1 1 1
Direct
0.500 0.000 0.000
0.000 0.000 0.500
0.000 0.500 0.000
0.500 0.500 0.500
0.000 0.000 0.000
```

Values from the calculation:
space group = P4/mmm (123)
DFT total energy = -7.157 eV/atom
crystal system = tetragonal
energy relative to the lowest polymorph listed for this composition = 0.0 meV/atom


Entry 21:
An optimized crystal structure of LaHfMn2Pd, computed with PBE.

Cell and atoms, written as POSCAR:
```
LaHfMn2Pd
1.0
-0.165 4.187 2.072
-3.336 1.646 -3.593
-3.568 -1.451 2.648
Mn Pd La Hf
2 1 1 1
Direct
0.500 0.000 0.000
0.000 0.000 0.500
0.000 0.000 0.000
0.000 0.500 0.000
0.500 0.500 0.500
```

Values from the calculation:
space group = P4/mmm (123)
DFT total energy = -6.323 eV/atom
crystal system = tetragonal


Entry 22:
An optimized crystal structure of RbLaHf2Mn, computed with PBE.

Cell and atoms, written as POSCAR:
```
RbLaHf2Mn
1.0
5.236 0.000 0.000
0.000 4.591 0.000
0.000 0.000 5.236
Hf Mn La Rb
2 1 1 1
Direct
0.500 0.000 0.000
0.000 0.000 0.500
0.000 0.500 0.000
0.500 0.500 0.500
0.000 0.000 0.000
```

Values from the calculation:
space group = P4/mmm (123)
DFT total energy = -5.023 eV/atom
crystal system = tetragonal


Entry 23:
An optimized crystal structure of LaHf2Mo2, computed with PBE.

Cell and atoms, written as POSCAR:
```
LaHf2Mo2
1.0
-1.418 3.565 -1.211
-3.578 -1.679 -0.751
-4.567 2.378 5.667
Mo Hf La
2 2 1
Direct
0.250 0.750 0.500
0.750 0.250 0.500
0.384 0.384 0.233
0.616 0.616 0.767
0.000 0.000 0.000
```

Values from the calculation:
space group = I4/mmm (139)
DFT total energy = -8.801 eV/atom
crystal system = tetragonal
energy relative to the lowest polymorph listed for this composition = 227.7 meV/atom


Entry 24:
An optimized crystal structure of LaHf2Mo, computed with PBE.

Cell and atoms, written as POSCAR:
```
LaHf2Mo
1.0
1.417 -2.534 4.034
-3.380 -1.429 3.351
-1.172 -4.808 0.452
Hf Mo La
2 1 1
Direct
0.250 0.250 0.250
0.750 0.750 0.750
0.000 0.000 0.000
0.500 0.500 0.500
```

Values from the calculation:
space group = Fm-3m (225)
DFT total energy = -8.575 eV/atom
crystal system = cubic
energy relative to the lowest polymorph listed for this composition = 277.6 meV/atom


Entry 25:
An optimized crystal structure of LaHfMo2, computed with PBE.

Cell and atoms, written as POSCAR:
```
LaHfMo2
1.0
-1.927 -0.229 4.456
-4.447 -1.856 0.631
-0.549 -4.303 2.192
La Mo Hf
1 2 1
Direct
0.000 0.000 0.000
0.750 0.750 0.750
0.250 0.250 0.250
0.500 0.500 0.500
```

Values from the calculation:
space group = Fm-3m (225)
DFT total energy = -8.715 eV/atom
crystal system = cubic
energy relative to the lowest polymorph listed for this composition = 0.0 meV/atom


Entry 26:
An optimized crystal structure of LaHf2Mo2, computed with PBE.

Cell and atoms, written as POSCAR:
```
LaHf2Mo2
1.0
-6.928 2.488 -3.710
1.875 -4.593 -6.583
-1.602 -2.521 1.302
La Hf Mo
2 4 4
Direct
0.500 0.500 0.000
0.000 0.000 0.000
0.635 0.135 0.000
0.365 0.865 0.000
0.865 0.635 0.000
0.135 0.365 0.000
0.860 0.360 0.500
0.640 0.860 0.500
0.360 0.140 0.500
0.140 0.640 0.500
```

Values from the calculation:
space group = P4/mbm (127)
DFT total energy = -8.935 eV/atom
crystal system = tetragonal
energy relative to the lowest polymorph listed for this composition = 93.3 meV/atom